[1]
## MoAuN2 (PBE)

Data for a relaxed structure of MoAuN2.

Calculated values
SG: Fm-3m (225)
Energy relative to the elements, uncorrected: 1.42 eV/atom
Excess energy over the best structure of this formula in the dataset: 1.312 eV per atom
Electronic total energy: -25.09 eV/cell
Spin magnetization: 0.197 μB/atom

Unit cell a=3.9702 b=3.9702 c=3.9702 alpha=60.00 beta=60.00 gamma=60.00
With the nearest neighbours (Å) after each atom.
Positions (direct):
Au 0.5000 0.5000 0.5000  8 N 2.43
N 0.7500 0.7500 0.7500  4 Mo 2.43, 4 Au 2.43
N 0.2500 0.2500 0.2500  4 Mo 2.43, 4 Au 2.43
Mo 0.0000 0.0000 0.0000  8 N 2.43

---

[2]
## MoAuN2 (PBE)

Data for a relaxed structure of MoAuN2.

Calculated values
SG: R-3m (166)
Energy relative to the elements, uncorrected: 0.11 eV/atom
Excess energy over the best structure of this formula in the dataset: 0.000 eV per atom
Electronic total energy: -30.34 eV/cell
Spin magnetization: 0.000 μB/atom

Unit cell a=6.7913 b=6.7913 c=6.7913 alpha=25.22 beta=25.22 gamma=25.22
With the nearest neighbours (Å) after each atom.
Positions (direct):
Mo 0.5000 0.5000 0.5000  6 N 2.09
N 0.1059 0.1059 0.1059  1 Au 2.09, 3 Mo 2.09
N 0.8941 0.8941 0.8941  1 Au 2.09, 3 Mo 2.09
Au 0.0000 0.0000 0.0000  2 N 2.09

---

[3]
## MoAuN3 (PBE)

Data for a relaxed structure of MoAuN3.

Calculated values
SG: Pm-3m (221)
Energy relative to the elements, uncorrected: 1.12 eV/atom
Electronic total energy: -33.48 eV/cell
Spin magnetization: 0.000 μB/atom

Unit cell a=3.9778 b=3.9778 c=3.9778 alpha=90.00 beta=90.00 gamma=90.00
With the nearest neighbours (Å) after each atom.
Positions (direct):
Au 0.5000 0.5000 0.5000  12 N 2.81
N 0.0000 0.0000 0.5000  2 Mo 1.99
N 0.5000 0.0000 0.0000  2 Mo 1.99
N 0.0000 0.5000 0.0000  2 Mo 1.99
Mo 0.0000 0.0000 0.0000  6 N 1.99

---

[4]
## MoAuN (PBE)

Data for a relaxed structure of MoAuN.

Calculated values
SG: Fdd2 (43)
Energy relative to the elements, uncorrected: 0.24 eV/atom
Electronic total energy: -86.86 eV/cell
Spin magnetization: 0.000 μB/atom

Unit cell a=5.8562 b=6.1458 c=5.8562 alpha=73.62 beta=65.91 gamma=106.38
With the nearest neighbours (Å) after each atom.
Positions (direct):
Au 0.2824 0.6860 0.4078  3 N 2.58-2.89, 1 Au 2.70, 4 Mo 2.75-2.84
Au 0.8465 0.8140 0.3438  3 N 2.58-2.89, 1 Au 2.70, 4 Mo 2.75-2.84
Au 0.9062 0.3140 0.4035  3 N 2.58-2.89, 1 Au 2.70, 4 Mo 2.75-2.84
Au 0.8422 0.1860 0.9676  3 N 2.58-2.89, 1 Au 2.70, 4 Mo 2.75-2.84
Mo 0.1207 0.0133 0.5951  4 N 2.07-2.24
Mo 0.6549 0.5133 0.1293  4 N 2.07-2.24
Mo 0.3915 0.9867 0.8927  4 N 2.07-2.24
Mo 0.3573 0.4867 0.8585  4 N 2.07-2.24
N 0.6521 0.7946 0.8361  4 Mo 2.07-2.24
N 0.1075 0.7054 0.8807  4 Mo 2.07-2.24
N 0.3693 0.2054 0.1425  4 Mo 2.07-2.24
N 0.4139 0.2946 0.5979  4 Mo 2.07-2.24

---

[5]
## MoAu3N (PBE)

Data for a relaxed structure of MoAu3N.

Calculated values
SG: Pm-3m (221)
Energy relative to the elements, uncorrected: 2.13 eV/atom
Excess energy over the best structure of this formula in the dataset: 0.952 eV per atom
Electronic total energy: -18.35 eV/cell
Spin magnetization: 0.576 μB/atom

Unit cell a=5.1064 b=5.1064 c=5.1064 alpha=90.00 beta=90.00 gamma=90.00
With the nearest neighbours (Å) after each atom.
Positions (direct):
Au 0.5000 0.0000 0.0000  2 Mo 2.55
Au 0.0000 0.5000 0.0000  2 Mo 2.55
Au 0.0000 0.0000 0.5000  2 Mo 2.55
Mo 0.0000 0.0000 0.0000  6 Au 2.55
N 0.5000 0.5000 0.5000  12 Au 3.61

---

[6]
## MoAuN3 (PBE)

Data for a relaxed structure of MoAuN3.

Calculated values
SG: Pm-3m (221)
Energy relative to the elements, uncorrected: 2.40 eV/atom
Electronic total energy: -27.08 eV/cell
Spin magnetization: 0.205 μB/atom

Unit cell a=3.9766 b=3.9766 c=3.9766 alpha=90.00 beta=90.00 gamma=90.00
With the nearest neighbours (Å) after each atom.
Positions (direct):
N 0.5000 0.0000 0.0000  2 Au 1.99
N 0.0000 0.0000 0.5000  2 Au 1.99
N 0.0000 0.5000 0.0000  2 Au 1.99
Au 0.0000 0.0000 0.0000  6 N 1.99
Mo 0.5000 0.5000 0.5000  12 N 2.81

---

[7]
## MoAuN2 (PBE)

Data for a relaxed structure of MoAuN2.

Calculated values
SG: I-42d (122)
Energy relative to the elements, uncorrected: 0.33 eV/atom
Excess energy over the best structure of this formula in the dataset: 0.222 eV per atom
Electronic total energy: -58.90 eV/cell
Spin magnetization: 0.000 μB/atom

Unit cell a=4.9830 b=4.9830 c=5.8847 alpha=64.95 beta=64.95 gamma=90.00
With the nearest neighbours (Å) after each atom.
Positions (direct):
N 0.3750 0.4525 0.7500  2 Mo 1.92
N 0.2025 0.6250 0.2500  2 Mo 1.92
N 0.5475 0.1250 0.2500  2 Mo 1.92
N 0.8750 0.7975 0.7500  2 Mo 1.92
Mo 0.5000 0.5000 0.0000  4 N 1.92
Mo 0.2500 0.7500 0.5000  4 N 1.92
Au 0.7500 0.2500 0.5000  4 N 2.37
Au 0.0000 0.0000 0.0000  4 N 2.37

---

[8]
## Mo2AuN (PBE)

Data for a relaxed structure of Mo2AuN.

Calculated values
SG: I-42d (122)
Energy relative to the elements, uncorrected: 0.49 eV/atom
Electronic total energy: -62.59 eV/cell
Spin magnetization: 0.000 μB/atom

Unit cell a=4.9409 b=4.9409 c=6.6992 alpha=68.36 beta=68.36 gamma=90.00
With the nearest neighbours (Å) after each atom.
Positions (direct):
N 0.5000 0.5000 0.0000  4 Mo 1.99
N 0.2500 0.7500 0.5000  4 Mo 1.99
Mo 0.8750 0.7506 0.7500  2 N 1.99
Mo 0.3750 0.4994 0.7500  2 N 1.99
Mo 0.5006 0.1250 0.2500  2 N 1.99
Mo 0.2494 0.6250 0.2500  2 N 1.99
Au 0.0000 0.0000 0.0000  4 Mo 2.64
Au 0.7500 0.2500 0.5000  4 Mo 2.64

---

What did the first record say?
## MoAuN2 (PBE)

Data for a relaxed structure of MoAuN2.

Calculated values
SG: Fm-3m (225)
Energy relative to the elements, uncorrected: 1.42 eV/atom
Excess energy over the best structure of this formula in the dataset: 1.312 eV per atom
Electronic total energy: -25.09 eV/cell
Spin magnetization: 0.197 μB/atom

Unit cell a=3.9702 b=3.9702 c=3.9702 alpha=60.00 beta=60.00 gamma=60.00
With the nearest neighbours (Å) after each atom.
Positions (direct):
Au 0.5000 0.5000 0.5000  8 N 2.43
N 0.7500 0.7500 0.7500  4 Mo 2.43, 4 Au 2.43
N 0.2500 0.2500 0.2500  4 Mo 2.43, 4 Au 2.43
Mo 0.0000 0.0000 0.0000  8 N 2.43